No. 1
Entry from Alexandria via LeMat-Bulk: a geometry-optimized LiZnPb2 structure (GGA-PBE).

**Space-group type**: Cm, No. 8
**Final energy**: -10.8 eV per formula unit
**DFT formation energy**: -0.04 eV per atom
**DOS(E_F)**: 2.0 states/eV/cell

a = 5.7532 Å, b = 5.7532 Å, c = 5.2954 Å
α = 72.27°, β = 72.27°, γ = 34.76°
Closest atoms and distances in Å follow each position.
Element x y z (fractional)
Pb 0.2356 0.2356 0.3051  3 Zn 3.05-3.21, 4 Li 3.16-3.19
Li 0.7706 0.7706 0.7787  2 Zn 2.87, 7 Pb 3.09-3.19
Pb 0.0185 0.0185 0.9367  3 Li 3.09-3.14, 4 Zn 3.13-3.25, 3 Pb 3.43-3.44
Zn 0.4753 0.4753 0.4795  2 Li 2.87, 5 Pb 3.05-3.21


No. 2
Entry from Alexandria via LeMat-Bulk: a geometry-optimized Li3ZnPb3 structure (GGA-PBE).

**Space-group type**: C2/m, No. 12
**Final energy**: -19.0 eV per formula unit
**DFT formation energy**: -0.13 eV per atom
**DOS(E_F)**: 4.2 states/eV/cell

a = 6.9530 Å, b = 6.9530 Å, c = 6.9449 Å
α = 90.87°, β = 90.87°, γ = 87.57°
Closest atoms and distances in Å follow each position.
Element x y z (fractional)
Li 0.3050 0.6950 0.0000  2 Zn 2.94, 4 Pb 3.07-3.12
Zn 0.2755 0.2755 0.9633  3 Li 2.91-2.94, 5 Pb 2.99-3.12
Pb 0.0073 0.0073 0.2303  6 Li 3.08-3.34, 2 Zn 3.12-3.30, 3 Pb 3.20-3.32
Li 0.6950 0.3050 0.0000  2 Zn 2.94, 4 Pb 3.07-3.12
Li 0.7461 0.2539 0.5000  6 Pb 3.01-3.12
Pb 0.4840 0.0216 0.2488  6 Li 2.96-3.12, 2 Zn 2.99, 1 Pb 3.32
Pb 0.5160 0.9784 0.7512  6 Li 2.96-3.12, 2 Zn 2.99, 1 Pb 3.32
Pb 0.9927 0.9927 0.7697  6 Li 3.08-3.34, 2 Zn 3.12-3.30, 3 Pb 3.20-3.32
Li 0.2621 0.2621 0.5442  1 Zn 2.91, 5 Pb 2.96-3.15
Pb 0.9784 0.5160 0.7512  6 Li 2.96-3.12, 2 Zn 2.99, 1 Pb 3.32
Pb 0.0216 0.4840 0.2488  6 Li 2.96-3.12, 2 Zn 2.99, 1 Pb 3.32
Li 0.2539 0.7461 0.5000  6 Pb 3.01-3.12
Zn 0.7245 0.7245 0.0367  3 Li 2.91-2.94, 5 Pb 2.99-3.12
Li 0.7379 0.7379 0.4558  1 Zn 2.91, 5 Pb 2.96-3.15


No. 3
Entry from Alexandria via LeMat-Bulk: a geometry-optimized LiZn2Pb structure (GGA-PBE).

**Space-group type**: Immm, No. 71
**Final energy**: -8.3 eV per formula unit
**DFT formation energy**: -0.03 eV per atom
**DOS(E_F)**: 1.2 states/eV/cell

a = 5.3239 Å, b = 5.3239 Å, c = 5.3239 Å
α = 133.83°, β = 133.66°, γ = 67.48°
Closest atoms and distances in Å follow each position.
Element x y z (fractional)
Zn 0.5000 0.5000 0.0000  4 Zn 2.96, 4 Li 3.04-3.05, 4 Pb 3.04-3.05
Li 0.7500 0.2500 0.5000  4 Pb 2.96, 8 Zn 3.04-3.05
Pb 0.2500 0.7500 0.5000  4 Li 2.96, 8 Zn 3.04-3.05
Zn 0.0000 0.0000 0.0000  4 Zn 2.96, 4 Li 3.04-3.05, 4 Pb 3.04-3.05


> The lowest final energy belongs to which entry?

Li3ZnPb3